(1)
Density functional theory data (GGA-PBE) for an optimized crystal structure of Sm2DyPaSb4.

a = 4.4180 Å, b = 7.6464 Å, c = 7.6694 Å
α = 109.35°, β = 90.00°, γ = 90.00°
Closest atoms and distances in Å follow each position.
Positions (direct):
Dy 0.5000 0.5000 0.0000  6 Sb 3.10
Sm 0.0000 0.5000 0.5000  6 Sb 3.15-3.16
Sb 0.5000 0.2478 0.2439  1 Dy 3.10, 2 Pa 3.10, 3 Sm 3.15
Sb 0.0000 0.2509 0.7570  1 Pa 3.09, 2 Dy 3.10, 3 Sm 3.15-3.16
Sb 0.0000 0.7491 0.2430  1 Pa 3.09, 2 Dy 3.10, 3 Sm 3.15-3.16
Sm 0.5000 0.0000 0.5000  6 Sb 3.15
Sb 0.5000 0.7522 0.7561  1 Dy 3.10, 2 Pa 3.10, 3 Sm 3.15
Pa 0.0000 0.0000 0.0000  6 Sb 3.09-3.10

Properties
The energy relative to the elements, uncorrected is -0.984 eV per atom. The space group is P2/m, No. 10.

(2)
Density functional theory data (GGA-PBE) for an optimized crystal structure of PmReN4.

a = 5.3338 Å, b = 5.3338 Å, c = 7.1439 Å
α = 111.92°, β = 111.92°, γ = 90.00°
Closest atoms and distances in Å follow each position.
Positions (direct):
Pm 0.7500 0.2500 0.5000  8 N 2.52-2.56
N 0.0311 0.9185 0.3333  1 Re 1.83
N 0.1648 0.2811 0.8333  1 Re 1.83
N 0.7189 0.3315 0.1667  1 Re 1.83
Re 0.2500 0.7500 0.5000  4 N 1.83
N 0.4479 0.8352 0.1667  1 Re 1.83
Re 0.5000 0.5000 0.0000  4 N 1.83
N 0.5852 0.9689 0.6667  1 Re 1.83
Pm 0.0000 0.0000 0.0000  8 N 2.52-2.56
N 0.6685 0.5521 0.8333  1 Re 1.83
N 0.0815 0.6979 0.6667  1 Re 1.83
N 0.3021 0.4148 0.3333  1 Re 1.83

Properties
The energy relative to the elements, uncorrected is -0.079 eV per atom. The space group is I4_1/a, No. 88.

(3)
Density functional theory data (GGA-PBE) for an optimized crystal structure of La3CoRu.

a = 4.7169 Å, b = 7.8873 Å, c = 7.7409 Å
α = 119.30°, β = 90.00°, γ = 90.00°
Closest atoms and distances in Å follow each position.
Positions (direct):
La 0.7500 0.0706 0.2028  1 Co 2.62
Ru 0.2500 0.3398 0.1723  9 La 2.97-3.26
La 0.2500 0.9294 0.7972  1 Co 2.62
Ru 0.7500 0.6602 0.8277  9 La 2.97-3.26
La 0.2500 0.3718 0.5708  1 Co 2.70, 1 Ru 2.97
La 0.2500 0.6996 0.1265  1 Co 2.70
La 0.7500 0.3004 0.8735  1 Co 2.70
Co 0.2500 0.0006 0.4997  2 Co 2.36, 1 La 2.62
La 0.7500 0.6282 0.4292  1 Co 2.70, 1 Ru 2.97
Co 0.7500 0.9994 0.5003  2 Co 2.36, 1 La 2.62

Properties
The calculation puts the energy above the most stable polymorph in this dataset at 0 meV per atom. The energy of formation from the pure elements is -15.9 kJ per mole of atoms. The space group is P2_1/m, No. 11.